# Tb12Mg2Sc5

Crystalline Tb12Mg2Sc5 at its relaxed geometry (PBE-GGA, Alexandria).

Cell lengths 8.8350, 8.8350, 8.4680 Å; angles 91.07, 91.07, 59.71 degrees
Last column: nearest neighbours and their distance in Å.
Positions (direct):
Tb (0.0579, 0.0579, 0.2693)  2 Sc 3.21-3.41, 2 Mg 3.27, 6 Tb 3.27-3.47
Tb (0.0909, 0.6908, 0.3874)  4 Sc 3.26-3.34, 6 Tb 3.28-3.57
Tb (0.1220, 0.5181, 0.7718)  5 Tb 3.27-3.57, 1 Mg 3.37, 4 Sc 3.39-3.63
Tb (0.3092, 0.9091, 0.6126)  4 Sc 3.26-3.34, 6 Tb 3.28-3.57
Tb (0.3567, 0.3567, 0.1244)  2 Sc 3.07-3.42, 2 Mg 3.30
Tb (0.4819, 0.8780, 0.2282)  5 Tb 3.27-3.57, 1 Mg 3.37, 4 Sc 3.39-3.63
Tb (0.5181, 0.1220, 0.7718)  5 Tb 3.27-3.57, 1 Mg 3.37, 4 Sc 3.39-3.63
Tb (0.6433, 0.6433, 0.8756)  2 Sc 3.07-3.42, 2 Mg 3.30
Tb (0.6908, 0.0909, 0.3874)  4 Sc 3.26-3.34, 6 Tb 3.28-3.57
Tb (0.8780, 0.4819, 0.2282)  5 Tb 3.27-3.57, 1 Mg 3.37, 4 Sc 3.39-3.63
Tb (0.9091, 0.3092, 0.6126)  4 Sc 3.26-3.34, 6 Tb 3.28-3.57
Tb (0.9421, 0.9421, 0.7307)  2 Sc 3.21-3.41, 2 Mg 3.27, 6 Tb 3.27-3.47
Mg (0.2486, 0.7514, 0.0000)  6 Tb 3.27-3.37, 2 Sc 3.29
Mg (0.7514, 0.2486, 0.0000)  6 Tb 3.27-3.37, 2 Sc 3.29
Sc (0.1562, 0.1562, 0.9385)  6 Tb 3.21-3.42, 2 Mg 3.29
Sc (0.2618, 0.2618, 0.4398)  10 Tb 3.07-3.43
Sc (0.5000, 0.5000, 0.5000)  4 Tb 3.26
Sc (0.7382, 0.7382, 0.5602)  10 Tb 3.07-3.43
Sc (0.8438, 0.8438, 0.0615)  6 Tb 3.21-3.42, 2 Mg 3.29

Magnetization = 0.0 μB/cell
E_tot = -87.7 eV per cell
V = 570.6 Å³/cell


# NdHo6Mg2

Crystalline NdHo6Mg2 at its relaxed geometry (PBE-GGA, Alexandria).

Cell lengths 7.5977, 7.5977, 7.5977 Å; angles 56.30, 56.30, 56.30 degrees
Last column: nearest neighbours and their distance in Å.
Positions (direct):
Nd (0.0000, 0.0000, 0.0000)  6 Ho 2.83-3.02
Ho (0.2853, 0.7288, 0.7288)  1 Nd 2.83
Ho (0.4532, 0.9435, 0.9435)  1 Nd 3.02, 2 Ho 3.37
Ho (0.7288, 0.2853, 0.7288)  1 Nd 2.83
Ho (0.7288, 0.7288, 0.2853)  1 Nd 2.83
Ho (0.9435, 0.4532, 0.9435)  1 Nd 3.02, 2 Ho 3.37
Ho (0.9435, 0.9435, 0.4532)  1 Nd 3.02, 2 Ho 3.37
Mg (0.2564, 0.2564, 0.2564)  1 Mg 3.39, 9 Ho 3.45-3.60
Mg (0.4337, 0.4337, 0.4337)  9 Ho 3.36-3.59, 1 Mg 3.39

Magnetization = 0.0 μB/cell
E_tot = -31.5 eV per cell
V = 283.6 Å³/cell


# Ga2GePd

Crystalline Ga2GePd at its relaxed geometry (PBE-GGA, Alexandria).

Cell lengths 7.3317, 7.3317, 7.3317 Å; angles 136.05, 136.05, 63.90 degrees
Last column: nearest neighbours and their distance in Å.
Positions (direct):
Ga (0.1205, 0.6250, 0.9955)  2 Pd 2.47, 2 Ge 2.50
Ga (0.3750, 0.3705, 0.4955)  2 Pd 2.47, 2 Ge 2.50
Ga (0.6295, 0.1250, 0.0045)  2 Pd 2.47, 2 Ge 2.50
Ga (0.8750, 0.8795, 0.5045)  2 Pd 2.47, 2 Ge 2.50
Ge (0.2500, 0.7500, 0.5000)  4 Ga 2.50
Ge (0.5000, 0.5000, 0.0000)  4 Ga 2.50
Pd (0.0000, 0.0000, 0.0000)  4 Ga 2.47
Pd (0.7500, 0.2500, 0.5000)  4 Ga 2.47

Magnetization = 0.0 μB/cell
E_tot = -30.9 eV per cell
V = 187.3 Å³/cell